(1)
VASP calculation (GGA-PBE) on crystalline PmAgIr4 at its relaxed geometry.

Lattice parameters (Å, degrees): 5.3290 5.3290 5.3290 60.00 60.00 60.00
Positions (direct):
Ir: 0.1241 0.6253 0.6253
Ir: 0.6253 0.6253 0.1241
Ir: 0.6253 0.6253 0.6253
Ir: 0.6253 0.1241 0.6253
Pm: 0.2500 0.2500 0.2500
Ag: 0.0000 0.0000 0.0000

Computed properties:
The calculation puts the calculated formation energy at -0.222 eV per atom. The calculation puts the density at 15.9 g cm⁻³.

---

(2)
VASP calculation (GGA-PBE) on crystalline AlGaCu2 at its relaxed geometry.

Lattice parameters (Å, degrees): 2.6589 2.8254 7.8851 90.00 90.00 90.00
Positions (direct):
Ga: 0.5000 0.0000 0.0000
Cu: 0.0000 0.0000 0.2799
Cu: 0.0000 0.0000 0.7201
Al: 0.5000 0.5000 0.5000

Computed properties:
The calculation puts the calculated formation energy at -0.030 eV per atom. The calculation puts the density at 6.3 g cm⁻³.

---

(3)
VASP calculation (GGA-PBE) on crystalline NdGa2Cu at its relaxed geometry.

Lattice parameters (Å, degrees): 3.7157 4.8858 4.8858 97.40 90.00 90.00
Positions (direct):
Ga: 0.5000 0.5025 0.1114
Ga: 0.5000 0.8886 0.4975
Nd: 0.0000 0.9975 0.0025
Cu: 0.5000 0.3914 0.6086

Computed properties:
The calculation puts the calculated formation energy at -0.216 eV per atom. The calculation puts the density at 6.6 g cm⁻³.

---

(4)
VASP calculation (GGA-PBE) on crystalline CdS5I at its relaxed geometry.

Lattice parameters (Å, degrees): 12.3348 4.4230 8.5511 123.84 141.28 64.96
Positions (direct):
S: 0.2212 0.7578 0.4668
S: 0.6560 0.7610 0.9662
S: 0.4506 0.9745 0.6918
S: 0.3656 0.2595 0.0776
S: 0.2633 0.7771 0.7608
Cd: 0.6915 0.1689 0.3687
I: 0.8826 0.8319 0.7295

Computed properties:
The value obtained for the energy relative to the elements, uncorrected is -0.064 eV/atom. The calculation puts the density at 2.7 g cm⁻³.

---

(5)
VASP calculation (GGA-PBE) on crystalline La6Zn3Pt at its relaxed geometry.

Lattice parameters (Å, degrees): 7.3761 8.3381 10.4146 90.00 83.21 90.00
Positions (direct):
La: 0.8169 0.6720 0.5651
La: 0.3169 0.8280 0.0651
La: 0.6831 0.1720 0.9349
La: 0.1831 0.3280 0.4349
La: 0.3645 0.8233 0.4208
La: 0.1807 0.0586 0.7481
La: 0.8193 0.9414 0.2519
La: 0.6807 0.4414 0.2481
La: 0.8645 0.6767 0.9208
La: 0.6355 0.1767 0.5792
La: 0.3193 0.5586 0.7519
La: 0.1355 0.3233 0.0792
Pt: 0.5000 0.5000 0.5000
Pt: 0.0000 0.0000 0.0000
Zn: 0.9412 0.3785 0.7283
Zn: 0.0588 0.6215 0.2717
Zn: 0.5000 0.5000 0.0000
Zn: 0.5588 0.8785 0.7717
Zn: 0.0000 0.0000 0.5000
Zn: 0.4412 0.1215 0.2283

Computed properties:
The calculation puts the calculated formation energy at -0.288 eV per atom. The calculation puts the density at 6.4 g cm⁻³.

---

(6)
VASP calculation (GGA-PBE) on crystalline NaMg2ZrFe at its relaxed geometry.

Lattice parameters (Å, degrees): 5.5132 5.5901 5.5132 90.00 90.00 90.00
Last column: magnetic moment on the atom in μB.
Positions (direct):
Mg: 0.0000 0.0000 0.5000  0.01
Mg: 0.5000 0.0000 0.0000  0.04
Zr: 0.0000 0.0000 0.0000  1.19
Na: 0.0000 0.5000 0.0000  0.03
Fe: 0.5000 0.5000 0.5000  3.29

Computed properties:
The calculation puts the calculated formation energy at 1.772 eV per atom. The calculation puts the density at 2.1 g cm⁻³.

---

no.,magnetic moment (μB per formula unit)
1,0.0
2,0.0
3,0.0
4,0.0
5,0.0
6,5.5